Entry 1:
First-principles (PBE) data for K2AlFeRe after structural relaxation, as listed in Alexandria.

Values from the calculation:
Energy of formation from the pure elements = 891 kJ/mol of formula units
Total magnetization = 4.18 μB/f.u.

abc: 6.370 6.370 4.834
angles: 90.00 90.00 90.00
Positions (direct):
K (0.000, 0.500, 0.000)
K (0.500, 0.000, 0.000)
Al (0.000, 0.000, 0.500)
Fe (0.500, 0.500, 0.500)
Re (0.000, 0.000, 0.000)

***

Entry 2:
First-principles (PBE) data for KAlFe2S after structural relaxation, as listed in Alexandria.

Values from the calculation:
Formation energy without anion corrections = 0.564 eV per atom
Total magnetization = 4.51 μB/f.u.

abc: 4.373 4.373 5.477
angles: 90.00 90.00 90.00
Positions (direct):
K (0.000, 0.000, 0.000)
Al (0.500, 0.500, 0.000)
Fe (0.000, 0.500, 0.500)
Fe (0.500, 0.000, 0.500)
S (0.500, 0.500, 0.500)

***

Entry 3:
First-principles (PBE) data for KSc2AlFe after structural relaxation, as listed in Alexandria.

Values from the calculation:
Energy of formation from the pure elements = 764 kJ/mol of formula units
Total magnetization = 1.90 μB/f.u.

abc: 4.863 4.863 4.429
angles: 90.00 90.00 90.00
Positions (direct):
K (0.000, 0.000, 0.000)
Sc (0.000, 0.500, 0.000)
Sc (0.500, 0.000, 0.000)
Al (0.500, 0.500, 0.500)
Fe (0.000, 0.000, 0.500)

***

Entry 4:
First-principles (PBE) data for K2SrAlFe after structural relaxation, as listed in Alexandria.

Values from the calculation:
Energy of formation from the pure elements = 480 kJ/mol of formula units
Total magnetization = 3.59 μB/f.u.

abc: 6.435 6.435 6.335
angles: 90.00 90.00 90.00
Positions (direct):
K (0.000, 0.500, 0.000)
K (0.500, 0.000, 0.000)
Sr (0.000, 0.000, 0.500)
Al (0.000, 0.000, 0.000)
Fe (0.500, 0.500, 0.500)

***

Entry 5:
First-principles (PBE) data for K2AlFeW after structural relaxation, as listed in Alexandria.

Values from the calculation:
Energy of formation from the pure elements = 1059 kJ/mol of formula units
Total magnetization = 2.94 μB/f.u.

abc: 5.851 5.851 4.731
angles: 90.00 90.00 90.00
Positions (direct):
K (0.000, 0.500, 0.000)
K (0.500, 0.000, 0.000)
Al (0.000, 0.000, 0.500)
Fe (0.000, 0.000, 0.000)
W (0.500, 0.500, 0.500)

***

Entry 6:
First-principles (PBE) data for LaAl10Fe2 after structural relaxation, as listed in Alexandria.

Values from the calculation:
Energy of formation from the pure elements = -446 kJ/mol of formula units
Total magnetization = 0.00 μB/f.u.

abc: 6.812 6.812 9.072
angles: 90.00 90.00 97.16
Positions (direct):
La (0.121, 0.879, 0.750)
La (0.879, 0.121, 0.250)
Al (0.131, 0.411, 0.750)
Al (0.164, 0.836, 0.099)
Al (0.164, 0.836, 0.401)
Al (0.222, 0.479, 0.250)
Al (0.229, 0.229, 0.000)
Al (0.229, 0.229, 0.500)
Al (0.377, 0.623, 0.552)
Al (0.377, 0.623, 0.948)
Al (0.411, 0.131, 0.250)
Al (0.479, 0.222, 0.750)
Al (0.521, 0.778, 0.250)
Al (0.589, 0.869, 0.750)
Al (0.623, 0.377, 0.052)
Al (0.623, 0.377, 0.448)
Al (0.771, 0.771, 0.000)
Al (0.771, 0.771, 0.500)
Al (0.778, 0.521, 0.750)
Al (0.836, 0.164, 0.599)
Al (0.836, 0.164, 0.901)
Al (0.869, 0.589, 0.250)
Fe (0.000, 0.500, 0.000)
Fe (0.000, 0.500, 0.500)
Fe (0.500, 0.000, 0.000)
Fe (0.500, 0.000, 0.500)